[1]
The following is a DFT calculation (GGA-PBE) of La4Pm8Pr3 after structural relaxation.

abc: 13.815 13.144 6.978
angles: 90.00 120.32 90.00
Space group C2/m (No. 12)
Symmetry-distinct sites (fractional):
La1 0.000 0.000 0.000
La2 0.000 0.000 0.500
La3 0.250 0.250 0.000
Pm1 0.000 0.257 0.500
Pm2 0.000 0.358 0.000
Pm3 0.231 0.500 0.003
Pm4 0.234 0.500 0.475
Pr1 0.000 0.500 0.500
Pr2 0.250 0.250 0.500

Properties
Total magnetic moment (μB per formula unit): 0.001
DFT formation energy (meV per atom): 310
Total DFT energy (no corrections) (hartree per atom): -0.165

[2]
The following is a DFT calculation (GGA-PBE) of La12PmPr3 after structural relaxation.

abc: 5.252 5.252 21.027
angles: 90.00 90.00 90.00
Space group P4/mmm (No. 123)
Symmetry-distinct sites (fractional):
La1 0.000 0.000 0.000
La2 0.000 0.000 0.249
La3 0.000 0.000 0.500
La4 0.000 0.500 0.124
La5 0.000 0.500 0.375
Pm1 0.500 0.500 0.000
Pr1 0.500 0.500 0.249
Pr2 0.500 0.500 0.500

Properties
Total magnetic moment (μB per formula unit): 0.000
DFT formation energy (meV per atom): 4
Total DFT energy (no corrections) (hartree per atom): -0.180

[3]
The following is a DFT calculation (GGA-PBE) of La3PmPr12 after structural relaxation.

abc: 5.258 5.258 20.998
angles: 90.00 90.00 90.00
Space group P4/mmm (No. 123)
Symmetry-distinct sites (fractional):
La1 0.000 0.000 0.000
La2 0.000 0.000 0.251
Pm1 0.000 0.000 0.500
Pr1 0.000 0.500 0.125
Pr2 0.000 0.500 0.376
Pr3 0.500 0.500 0.000
Pr4 0.500 0.500 0.251
Pr5 0.500 0.500 0.500

Properties
Total magnetic moment (μB per formula unit): 0.000
DFT formation energy (meV per atom): 9
Total DFT energy (no corrections) (hartree per atom): -0.176

[4]
The following is a DFT calculation (GGA-PBE) of La3Pm3Pr5 after structural relaxation.

abc: 11.5686 11.5686 3.5095
angles: 90.00 90.00 120.00
Space group P-62m (No. 189)
Symmetry-distinct sites (fractional):
La1 0.0000 0.6020 0.0000
Pm1 0.0000 0.8403 0.5000
Pr1 0.0000 0.3387 0.5000
Pr2 0.3333 0.6667 0.5000

Properties
Total magnetic moment (μB per formula unit): 0.002
DFT formation energy (meV per atom): 280
Total DFT energy (no corrections) (hartree per atom): -0.167

What is the total magnetic moment in the first record?
0.001 μB per formula unit